VASP calculation (PBEsol) on a relaxed structure of TiCd.

Results
E	-4.843	eV/atom

Cell lengths 2.8539, 2.8539, 8.9000 Å; angles 90.00, 90.00, 90.00 degrees
Closest atoms and distances in Å follow each position.
Atoms (fractional coordinates):
Ti (0.2500, 0.2500, 0.1095)  8 Ti 2.81-2.85, 4 Cd 3.05
Ti (0.7500, 0.7500, 0.8905)  8 Ti 2.81-2.85, 4 Cd 3.05
Cd (0.2500, 0.2500, 0.6335)  8 Cd 2.85-3.12, 4 Ti 3.05
Cd (0.7500, 0.7500, 0.3665)  8 Cd 2.85-3.12, 4 Ti 3.05